Entry 1:
DFT (PBE-GGA) results for a relaxed Na3HgSb crystal.

Unit cell a=5.9367 b=5.9367 c=5.9367 alpha=90.00 beta=90.00 gamma=90.00
With the nearest neighbours (Å) after each atom.
Space group Pm-3m (No. 221)
One atom of each set of equivalent atoms:
Na 0.0000 0.0000 0.5000 (multiplicity 3)  2 Sb 2.97
Hg 0.5000 0.5000 0.5000 (multiplicity 1)  12 Na 4.20
Sb 0.0000 0.0000 0.0000 (multiplicity 1)  6 Na 2.97

## Properties
magnetic moment = 0.0 Bohr magnetons per cell
density = 3.11 Mg/m³
relative energy among the computed polymorphs = 0.115 eV/atom
total energy = -1.917 eV per atom
raw formation energy = -0.24 eV per atom

Entry 2:
DFT (PBE-GGA) results for a relaxed Na6HgSb crystal.

Unit cell a=5.5139 b=6.9991 c=12.0491 alpha=90.00 beta=90.00 gamma=90.00
With the nearest neighbours (Å) after each atom.
Space group Amm2 (No. 38)
One atom of each set of equivalent atoms:
Na 0.0000 0.0000 0.0000 (multiplicity 2)  6 Na 3.28-3.47, 2 Sb 3.35, 2 Hg 3.50
Na 0.0000 0.2350 0.7641 (multiplicity 4)  6 Na 3.28-3.48, 2 Sb 3.34, 2 Hg 3.48-3.49
Na 0.5000 0.0000 0.3466 (multiplicity 2)  8 Na 3.35-3.61, 2 Hg 3.38, 2 Sb 3.50
Na 0.5000 0.2395 0.5876 (multiplicity 4)  8 Na 3.35-3.65, 2 Hg 3.37, 2 Sb 3.48-3.49
Hg 0.0000 0.0000 0.5083 (multiplicity 2)  12 Na 3.37-3.50
Sb 0.5000 0.0000 0.8419 (multiplicity 2)  12 Na 3.34-3.50

## Properties
magnetic moment = 0.0 Bohr magnetons per cell
density = 3.29 Mg/m³
total energy = -1.766 eV per atom
raw formation energy = -0.22 eV per atom

Entry 3:
DFT (PBE-GGA) results for a relaxed NaScHgSb crystal.

Unit cell a=7.2474 b=7.2474 c=7.2474 alpha=90.00 beta=90.00 gamma=90.00
With the nearest neighbours (Å) after each atom.
Space group F-43m (No. 216)
One atom of each set of equivalent atoms:
Na 0.0000 0.0000 0.0000 (multiplicity 4)  4 Hg 3.14, 4 Sb 3.14
Sc 0.0000 0.0000 0.5000 (multiplicity 4)  4 Hg 3.14, 4 Sb 3.14
Hg 0.2500 0.2500 0.2500 (multiplicity 4)  4 Na 3.14, 4 Sc 3.14
Sb 0.2500 0.2500 0.7500 (multiplicity 4)  4 Na 3.14, 4 Sc 3.14

## Properties
magnetic moment = 0.0 Bohr magnetons per cell
density = 6.81 Mg/m³
total energy = -3.388 eV per atom
raw formation energy = -0.37 eV per atom